Record 1
5
Lattice="5.655 0.000 0.000 0.000 5.655 0.000 0.000 0.000 5.019" Properties=species:S:1:pos:R:3 comment="Sr2TlNiPb PBE-GGA relaxed" sg="P4/mmm, No. 123" ef_ev_per_atom=-0.193 pbc="T T T"
Sr 0.000 2.828 0.000
Sr 2.828 0.000 0.000
Tl 0.000 0.000 2.509
Ni 0.000 0.000 0.000
Pb 2.828 2.828 2.509

Record 2
5
Lattice="5.157 0.000 0.000 0.000 5.157 0.000 0.000 0.000 5.636" Properties=species:S:1:pos:R:3 comment="SrTlNiPb2 PBE-GGA relaxed" sg="P4/mmm, No. 123" ef_ev_per_atom=-0.097 pbc="T T T"
Sr 0.000 0.000 0.000
Tl 2.579 2.579 0.000
Ni 0.000 0.000 2.818
Pb 0.000 2.579 2.818
Pb 2.579 0.000 2.818

Record 3
5
Lattice="4.850 0.000 0.000 0.000 4.850 0.000 0.000 0.000 4.992" Properties=species:S:1:pos:R:3 comment="SrV2NiPb PBE-GGA relaxed" sg="P4/mmm, No. 123" ef_ev_per_atom=0.630 pbc="T T T"
Sr 0.000 0.000 0.000
V 0.000 2.425 2.496
V 2.425 0.000 2.496
Ni 2.425 2.425 2.496
Pb 2.425 2.425 0.000

Record 4
5
Lattice="5.607 0.000 0.000 0.000 5.607 0.000 0.000 0.000 4.911" Properties=species:S:1:pos:R:3 comment="Sr2NiPbW PBE-GGA relaxed" sg="P4/mmm, No. 123" ef_ev_per_atom=0.889 pbc="T T T"
Sr 0.000 2.804 0.000
Sr 2.804 0.000 0.000
Ni 0.000 0.000 0.000
Pb 0.000 0.000 2.456
W 2.804 2.804 2.456

Record 5
5
Lattice="5.809 0.000 0.000 0.000 5.809 0.000 0.000 0.000 6.217" Properties=species:S:1:pos:R:3 comment="SrYNiPb2 PBE-GGA relaxed" sg="P4/mmm, No. 123" ef_ev_per_atom=1.035 pbc="T T T"
Sr 0.000 0.000 0.000
Y 0.000 0.000 3.109
Ni 2.905 2.905 0.000
Pb 0.000 2.905 3.109
Pb 2.905 0.000 3.109

Record 6
5
Lattice="4.798 0.000 0.000 0.000 4.798 0.000 0.000 0.000 5.049" Properties=species:S:1:pos:R:3 comment="SrZn2NiPb PBE-GGA relaxed" sg="P4/mmm, No. 123" ef_ev_per_atom=-0.140 pbc="T T T"
Sr 0.000 0.000 0.000
Zn 0.000 2.399 2.525
Zn 2.399 0.000 2.525
Ni 2.399 2.399 2.525
Pb 2.399 2.399 0.000

no.,uncorrected energy (eV per atom),D(E_F) (states/eV/f.u.),spin magnetization (μB per cell)
1,-3.24,3.63,0.00
2,-3.55,3.95,0.00
3,-5.25,9.47,5.86
4,-4.27,3.21,4.18
5,-3.23,12.07,1.27
6,-2.88,2.84,0.00